# TaMoBr2 | the Alexandria database | PBE | optimized geometry
data_TaMoBr2
_chemical_formula_sum 'Ta2 Mo2 Br4'
_space_group_name_H-M_alt 'P 1'
_space_group_IT_number 1
_cell_length_a 6.6687
_cell_length_b 6.6687
_cell_length_c 6.6687
_cell_angle_alpha 125.83
_cell_angle_beta 125.83
_cell_angle_gamma 80.16
loop_
_space_group_symop_operation_xyz
'x,y,z'
loop_
_atom_site_label
_atom_site_fract_x
_atom_site_fract_y
_atom_site_fract_z
Ta1 0.0000 0.0000 0.0000
Ta2 0.7500 0.2500 0.5000
Mo1 0.2500 0.7500 0.5000
Mo2 0.5000 0.5000 0.0000
Br1 0.1339 0.6250 0.0089
Br2 0.3750 0.3839 0.5089
Br3 0.6161 0.1250 0.9911
Br4 0.8750 0.8661 0.4911
# * total magnetization: 0.8 μB per cell
# * energy above the lowest structure with this stoichiometry: 5.953 eV/f.u.
# * energy relative to the elements, uncorrected: 1.360 eV per atom
# * DFT total energy: -5.15 eV/atom


# TaMoBr2 | the Alexandria database | PBE | optimized geometry
data_TaMoBr2
_chemical_formula_sum 'Ta1 Mo1 Br2'
_space_group_name_H-M_alt 'P 1'
_space_group_IT_number 1
_cell_length_a 4.5951
_cell_length_b 4.5951
_cell_length_c 4.5951
_cell_angle_alpha 60.00
_cell_angle_beta 60.00
_cell_angle_gamma 60.00
loop_
_space_group_symop_operation_xyz
'x,y,z'
loop_
_atom_site_label
_atom_site_fract_x
_atom_site_fract_y
_atom_site_fract_z
Ta1 0.0000 0.0000 0.0000
Mo1 0.5000 0.5000 0.5000
Br1 0.2500 0.2500 0.2500
Br2 0.7500 0.7500 0.7500
# * total magnetization: 0.0 μB per cell
# * energy above the lowest structure with this stoichiometry: 4.576 eV/f.u.
# * energy relative to the elements, uncorrected: 1.016 eV per atom
# * DFT total energy: -5.49 eV/atom


no.,V (Å³/cell)
1,188.14
2,68.61